Entry 1:
Entry from the Alexandria database: crystalline ZrAlSi3 at its relaxed geometry (PBE).

Output
M_tot	0.00	μB/f.u.
D(E_F)	1.91	states/eV/cell
calculated total energy	-4.870	eV per atom
crystal system	cubic
formation energy without anion corrections	0.842	eV/atom

```
data_ZrAlSi3
_chemical_formula_sum 'Zr1 Al1 Si3'
_cell_length_a 5.080
_cell_length_b 5.080
_cell_length_c 5.080
_cell_angle_alpha 90.00
_cell_angle_beta 90.00
_cell_angle_gamma 90.00
_symmetry_space_group_name_H-M 'P m -3 m'
_symmetry_Int_Tables_number 221
_symmetry_space_group_name_Hall '-P 4 2 3'
loop_
_atom_site_label
_atom_site_type_symbol
_atom_site_fract_x
_atom_site_fract_y
_atom_site_fract_z
Zr1 Zr 0.000 0.000 0.000
Al1 Al 0.500 0.500 0.500
Si1 Si 0.000 0.000 0.500
```

Entry 2:
Entry from the Alexandria database: crystalline Tb3RuN at its relaxed geometry (PBE).

Output
M_tot	0.00	μB/f.u.
D(E_F)	3.50	states/eV/cell
calculated total energy	-6.916	eV per atom
crystal system	cubic
formation energy without anion corrections	-0.618	eV/atom

```
data_Tb3RuN
_chemical_formula_sum 'Tb3 Ru1 N1'
_cell_length_a 4.724
_cell_length_b 4.724
_cell_length_c 4.724
_cell_angle_alpha 90.00
_cell_angle_beta 90.00
_cell_angle_gamma 90.00
_symmetry_space_group_name_H-M 'P m -3 m'
_symmetry_Int_Tables_number 221
_symmetry_space_group_name_Hall '-P 4 2 3'
loop_
_atom_site_label
_atom_site_type_symbol
_atom_site_fract_x
_atom_site_fract_y
_atom_site_fract_z
Tb1 Tb 0.000 0.000 0.500
Ru1 Ru 0.500 0.500 0.500
N1 N 0.000 0.000 0.000
```

Entry 3:
Entry from the Alexandria database: crystalline KSr2Sb at its relaxed geometry (PBE).

Output
M_tot	0.00	μB/f.u.
D(E_F)	2.69	states/eV/cell
calculated total energy	-2.611	eV per atom
crystal system	tetragonal
formation energy without anion corrections	-0.465	eV/atom

```
data_KSr2Sb
_chemical_formula_sum 'K1 Sr2 Sb1'
_cell_length_a 4.252
_cell_length_b 4.252
_cell_length_c 10.562
_cell_angle_alpha 90.00
_cell_angle_beta 90.00
_cell_angle_gamma 90.00
_symmetry_space_group_name_H-M 'P 4/m m m'
_symmetry_Int_Tables_number 123
_symmetry_space_group_name_Hall '-P 4 2'
loop_
_atom_site_label
_atom_site_type_symbol
_atom_site_fract_x
_atom_site_fract_y
_atom_site_fract_z
K1 K 0.000 0.000 0.000
Sr1 Sr 0.500 0.500 0.338
Sb1 Sb 0.000 0.000 0.500
```

Entry 4:
Entry from the Alexandria database: crystalline RhAuO3 at its relaxed geometry (PBE).

Output
M_tot	0.00	μB/f.u.
D(E_F)	12.38	states/eV/cell
calculated total energy	-5.261	eV per atom
crystal system	orthorhombic
formation energy without anion corrections	-0.160	eV/atom

```
data_RhAuO3
_chemical_formula_sum 'Rh4 Au4 O12'
_cell_length_a 3.187
_cell_length_b 14.546
_cell_length_c 5.134
_cell_angle_alpha 90.00
_cell_angle_beta 90.00
_cell_angle_gamma 90.00
_symmetry_space_group_name_H-M 'C m c m'
_symmetry_Int_Tables_number 63
_symmetry_space_group_name_Hall '-C 2c 2'
loop_
_atom_site_label
_atom_site_type_symbol
_atom_site_fract_x
_atom_site_fract_y
_atom_site_fract_z
Rh1 Rh 0.000 0.192 0.250
Au1 Au 0.000 0.451 0.250
O1 O 0.000 0.063 0.250
O2 O 0.000 0.317 0.006
```

Entry 5:
Entry from the Alexandria database: crystalline PmThZn10 at its relaxed geometry (PBE).

Output
M_tot	0.00	μB/f.u.
D(E_F)	4.19	states/eV/cell
calculated total energy	-2.340	eV per atom
crystal system	orthorhombic
ΔE_f	-0.2642	eV/atom

```
data_PmThZn10
_chemical_formula_sum 'Pm1 Th1 Zn10'
_cell_length_a 4.230
_cell_length_b 5.418
_cell_length_c 9.306
_cell_angle_alpha 90.00
_cell_angle_beta 90.00
_cell_angle_gamma 90.00
_symmetry_space_group_name_H-M 'P m m m'
_symmetry_Int_Tables_number 47
_symmetry_space_group_name_Hall '-P 2 2'
loop_
_atom_site_label
_atom_site_type_symbol
_atom_site_fract_x
_atom_site_fract_y
_atom_site_fract_z
Pm1 Pm 0.000 0.000 0.000
Th1 Th 0.000 0.500 0.500
Zn1 Zn 0.000 0.000 0.331
Zn2 Zn 0.000 0.500 0.163
Zn3 Zn 0.500 0.000 0.500
Zn4 Zn 0.500 0.253 0.252
Zn5 Zn 0.500 0.500 0.000
```

Entry 6:
Entry from the Alexandria database: crystalline CaReCl6 at its relaxed geometry (PBE).

Output
M_tot	3.00	μB/f.u.
calculated total energy	-4.414	eV per atom
crystal system	trigonal
formation energy without anion corrections	-1.222	eV/atom

```
data_CaReCl6
_chemical_formula_sum 'Ca3 Re3 Cl18'
_cell_length_a 6.4575
_cell_length_b 6.4575
_cell_length_c 17.6086
_cell_angle_alpha 90.00
_cell_angle_beta 90.00
_cell_angle_gamma 120.00
_symmetry_space_group_name_H-M 'R -3'
_symmetry_Int_Tables_number 148
_symmetry_space_group_name_Hall '-R 3'
loop_
_atom_site_label
_atom_site_type_symbol
_atom_site_fract_x
_atom_site_fract_y
_atom_site_fract_z
Ca1 Ca 0.0000 0.0000 0.0000
Re1 Re 0.0000 0.0000 0.5000
Cl1 Cl 0.0095 0.3062 0.4226
```